Crystalline Sc6C2SeS3 at its relaxed geometry. Source: the Alexandria database, functional GGA-PBE.

The structure in CIF format:
```
data_Sc6C2SeS3
_cell_length_a 15.7666
_cell_length_b 3.5512
_cell_length_c 7.3469
_cell_angle_alpha 90.00
_cell_angle_beta 103.35
_cell_angle_gamma 90.00
_space_group_name_H-M_alt 'C 1 2/m 1'
_space_group_IT_number 12
loop_
_space_group_symop_operation_xyz
'x,y,z'
'-x,-y,-z'
'-x,y,-z'
'x,-y,z'
'x+1/2,y+1/2,z'
'-x+1/2,-y+1/2,-z'
'-x+1/2,y+1/2,-z'
'x+1/2,-y+1/2,z'
loop_
_atom_site_label
_atom_site_type_symbol
_atom_site_fract_x
_atom_site_fract_y
_atom_site_fract_z
Sc1 Sc 0.0227 0.0000 0.2747
Sc2 Sc 0.1753 0.5000 0.1309
Sc3 Sc 0.1779 0.5000 0.5636
C1 C 0.1701 0.0000 0.3387
Se1 Se 0.0000 0.5000 0.0000
S1 S 0.0000 0.5000 0.5000
S2 S 0.1613 0.0000 0.8350
```

## Properties
Mass density, g cm⁻³: 3.9
Total moment, μB per formula unit: 0.0
Calculated total energy, eV per atom: -7.498